A relaxed AlOs2Br crystal. Source: Alexandria, functional PBE.

The structure in CIF format:
```
data_AlOs2Br
_chemical_formula_sum 'Al2 Os4 Br2'
_cell_length_a 2.9030
_cell_length_b 5.0959
_cell_length_c 8.9272
_cell_angle_alpha 90.00
_cell_angle_beta 90.00
_cell_angle_gamma 90.00
_symmetry_space_group_name_H-M 'C m m 2'
_symmetry_Int_Tables_number 35
loop_
_symmetry_equiv_pos_as_xyz
'x,y,z'
'-x,-y,z'
'-x,y,z'
'x,-y,z'
'x+1/2,y+1/2,z'
'-x+1/2,-y+1/2,z'
'-x+1/2,y+1/2,z'
'x+1/2,-y+1/2,z'
loop_
_atom_site_label
_atom_site_type_symbol
_atom_site_fract_x
_atom_site_fract_y
_atom_site_fract_z
Al1 Al 0.0000 0.0000 0.0000
Os1 Os 0.0000 0.0000 0.4711
Os2 Os 0.0000 0.5000 0.2311
Br1 Br 0.0000 0.5000 0.7437
```

Calculated values
N(E_F) in states/eV per cell: 10.20
Mass density in Mg/m³: 12.256
ΔE_f (raw) in eV/atom: 0.793
M_tot in μB per cell: 0.15
Total energy in eV/atom: -6.176